# 1
{"formula": "LiHf", "functional": "PBE", "state": "relaxed", "space_group": "Fm-3m (225)", "polymorph_energy_ev_per_atom": 0.659, "cell": [[5.376, 0.000, 0.000], [0.000, 5.376, 0.000], [0.000, 0.000, 5.376]], "species": ["Li", "Li", "Li", "Li", "Hf", "Hf", "Hf", "Hf"], "fractional_positions": [[0.000, 0.000, 0.000], [0.000, 0.500, 0.500], [0.500, 0.000, 0.500], [0.500, 0.500, 0.000], [0.000, 0.000, 0.500], [0.000, 0.500, 0.000], [0.500, 0.000, 0.000], [0.500, 0.500, 0.500]]}



# 2
{"formula": "NdCdIn", "functional": "PBE", "state": "relaxed", "space_group": "F-43m (216)", "cell": [[7.046, 0.000, 0.000], [0.000, 7.046, 0.000], [0.000, 0.000, 7.046]], "species": ["Nd", "Nd", "Nd", "Nd", "Cd", "Cd", "Cd", "Cd", "In", "In", "In", "In"], "fractional_positions": [[0.000, 0.000, 0.000], [0.000, 0.500, 0.500], [0.500, 0.000, 0.500], [0.500, 0.500, 0.000], [0.250, 0.250, 0.750], [0.250, 0.750, 0.250], [0.750, 0.250, 0.250], [0.750, 0.750, 0.750], [0.000, 0.000, 0.500], [0.000, 0.500, 0.000], [0.500, 0.000, 0.000], [0.500, 0.500, 0.500]]}



# 3
{"formula": "PuPt3", "functional": "PBE", "state": "relaxed", "space_group": "Pm-3m (221)", "cell": [[4.155, 0.000, 0.000], [0.000, 4.155, 0.000], [0.000, 0.000, 4.155]], "species": ["Pu", "Pt", "Pt", "Pt"], "fractional_positions": [[0.000, 0.000, 0.000], [0.000, 0.500, 0.500], [0.500, 0.000, 0.500], [0.500, 0.500, 0.000]]}



# 4
{"formula": "AlHg2BW", "functional": "PBE", "state": "relaxed", "space_group": "P4/mmm (123)", "cell": [[5.286, 0.000, 0.000], [0.000, 5.286, 0.000], [0.000, 0.000, 4.971]], "species": ["Al", "Hg", "Hg", "B", "W"], "fractional_positions": [[0.000, 0.000, 0.000], [0.000, 0.500, 0.500], [0.500, 0.000, 0.500], [0.500, 0.500, 0.000], [0.000, 0.000, 0.500]]}



# 5
{"formula": "MgAlIn2", "functional": "PBE", "state": "relaxed", "space_group": "I4/mmm (139)", "cell": [[4.460, 0.000, 0.000], [0.000, 4.460, 0.000], [0.000, 0.000, 9.129]], "species": ["Mg", "Mg", "Al", "Al", "In", "In", "In", "In"], "fractional_positions": [[0.000, 0.000, 0.000], [0.500, 0.500, 0.500], [0.000, 0.000, 0.500], [0.500, 0.500, 0.000], [0.000, 0.500, 0.250], [0.000, 0.500, 0.750], [0.500, 0.000, 0.250], [0.500, 0.000, 0.750]]}



# 6
{"formula": "Cd4B", "functional": "PBE", "state": "relaxed", "space_group": "Pm-3m (221)", "cell": [[4.706, 0.000, 0.000], [0.000, 4.706, 0.000], [0.000, 0.000, 4.706]], "species": ["Cd", "Cd", "Cd", "Cd", "B"], "fractional_positions": [[0.000, 0.000, 0.000], [0.000, 0.500, 0.500], [0.500, 0.000, 0.500], [0.500, 0.500, 0.000], [0.500, 0.500, 0.500]]}



| no. | DFT formation energy (eV/atom) | E (eV/f.u.) |
| --- | --- | --- |
| 1 | 0.98 | -9.90 |
| 2 | -0.33 | -9.40 |
| 3 | -0.70 | -35.27 |
| 4 | 1.87 | -14.61 |
| 5 | 0.05 | -10.61 |
| 6 | 0.44 | -8.15 |